# 1
Material: DySc2Ti
Method: DFT, PBE-GGA
State: relaxed

Values from the calculation:
energy of formation from the pure elements	0.14	eV per atom
excess energy over the best structure of this formula in the dataset	0.01	eV per formula unit
total magnetic moment	1.872	μB/f.u.

Lattice parameters (Å, degrees): 3.5611 3.5611 7.7493 90.00 90.00 90.00
Closest atoms and distances in Å follow each position.
Space group P4/mmm (No. 123)
Asymmetric unit:
Dy 0.0000 0.0000 0.0000 x1  8 Sc 3.40, 4 Dy 3.56
Sc 0.5000 0.5000 0.2945 x2  4 Ti 2.98, 1 Sc 3.19
Ti 0.0000 0.0000 0.5000 x1  8 Sc 2.98

=====

# 2
Material: IrRhS2Cl
Method: DFT, PBE-GGA
State: relaxed

Values from the calculation:
excess energy over the best structure of this formula in the dataset	0.00	eV per formula unit
formation energy without anion corrections	851	meV/atom
total magnetic moment	2.145	μB/f.u.

Lattice parameters (Å, degrees): 4.5807 4.5807 4.8935 90.00 90.00 90.00
Closest atoms and distances in Å follow each position.
Space group P4/mmm (No. 123)
Asymmetric unit:
Ir 0.0000 0.0000 0.0000 x1  4 S 2.29, 2 Cl 2.45
Rh 0.5000 0.5000 0.5000 x1  4 Cl 3.24, 8 S 3.35
S 0.0000 0.5000 0.0000 x2  2 Ir 2.29
Cl 0.0000 0.0000 0.5000 x1  2 Ir 2.45

=====

# 3
Material: Pr3Sn2Rh6
Method: DFT, PBE-GGA
State: relaxed

Values from the calculation:
energy of formation from the pure elements	-0.65	eV per atom
total magnetic moment	0.027	μB/f.u.

Lattice parameters (Å, degrees): 9.6606 9.6606 9.6606 90.00 90.00 90.00
Closest atoms and distances in Å follow each position.
Space group Im-3m (No. 229)
Asymmetric unit:
Pr 0.0000 0.0000 0.2896 x12  4 Rh 2.90
Sn 0.2500 0.2500 0.2500 x8  6 Rh 2.77
Rh 0.0000 0.3487 0.3487 x24  2 Sn 2.77, 6 Rh 2.81-2.92, 2 Pr 2.90

=====

# 4
Material: Mg2CdHg4
Method: DFT, PBE-GGA
State: relaxed

Values from the calculation:
energy of formation from the pure elements	-0.07	eV per atom
excess energy over the best structure of this formula in the dataset	0.00	eV per formula unit
total magnetic moment	0.000	μB/f.u.

Lattice parameters (Å, degrees): 7.2383 7.2383 6.4834 90.00 90.00 90.00
Closest atoms and distances in Å follow each position.
Space group I4/mmm (No. 139)
Asymmetric unit:
Mg 0.0000 0.5000 0.0000 x4  8 Hg 3.03, 2 Mg 3.24
Cd 0.0000 0.0000 0.0000 x2  8 Hg 3.03
Hg 0.2500 0.2500 0.2500 x8  2 Cd 3.03, 4 Mg 3.03, 2 Hg 3.24

=====

# 5
Material: DyZrAg
Method: DFT, PBE-GGA
State: relaxed

Values from the calculation:
energy of formation from the pure elements	-0.02	eV per atom
excess energy over the best structure of this formula in the dataset	0.18	eV per formula unit
total magnetic moment	0.000	μB/f.u.

Lattice parameters (Å, degrees): 4.9907 4.9907 6.5734 90.00 90.00 120.00
Closest atoms and distances in Å follow each position.
Space group P-3m1 (No. 164)
Asymmetric unit:
Dy 0.0000 0.0000 0.2486 x2  6 Ag 3.19-3.45, 2 Dy 3.27-3.30, 6 Zr 3.28-3.37
Zr 0.3333 0.6667 0.4870 x2  3 Zr 2.89, 1 Ag 3.12
Ag 0.3333 0.6667 0.9611 x2  3 Ag 2.93, 1 Zr 3.12, 3 Dy 3.19

=====

# 6
Material: Zr2TeSe
Method: DFT, PBE-GGA
State: relaxed

Values from the calculation:
excess energy over the best structure of this formula in the dataset	0.00	eV per formula unit
formation energy without anion corrections	-1037	meV/atom
total magnetic moment	0.000	μB/f.u.

Lattice parameters (Å, degrees): 3.7175 3.7175 6.6405 90.00 90.00 90.00
Closest atoms and distances in Å follow each position.
Space group P4mm (No. 99)
Asymmetric unit:
Zr 0.0000 0.0000 0.0000 x1  1 Se 2.81, 4 Te 2.94
Zr 0.5000 0.5000 0.2930 x1  4 Se 2.77
Te 0.5000 0.5000 0.8010 x1  5 Zr 2.94-3.27
Se 0.0000 0.0000 0.4229 x1  5 Zr 2.77-2.81

=====

# 7
Material: In2RuW
Method: DFT, PBE-GGA
State: relaxed

Values from the calculation:
energy of formation from the pure elements	0.40	eV per atom
excess energy over the best structure of this formula in the dataset	0.81	eV per formula unit
total magnetic moment	0.000	μB/f.u.

Lattice parameters (Å, degrees): 10.3396 3.0177 4.8963 90.00 107.44 90.00
Closest atoms and distances in Å follow each position.
Space group Cm (No. 8)
Asymmetric unit:
In 0.0000 0.0000 0.0000 x2  4 W 2.89-2.91, 3 Ru 2.92-2.95, 3 In 3.02-3.16
In 0.2172 0.0000 0.6631 x2  4 Ru 2.89-2.90, 3 W 2.93-2.96, 3 In 3.02-3.16
Ru 0.2536 0.5000 0.1872 x2  2 W 2.64, 7 In 2.89-2.95
W 0.4599 0.0000 0.4724 x2  2 Ru 2.64, 7 In 2.89-2.96

=====

# 8
Material: YCd2Os
Method: DFT, PBE-GGA
State: relaxed

Values from the calculation:
energy of formation from the pure elements	0.33	eV per atom
total magnetic moment	0.000	μB/f.u.

Lattice parameters (Å, degrees): 5.6895 8.5717 3.3817 90.00 90.00 90.00
Closest atoms and distances in Å follow each position.
Space group Cmmm (No. 65)
Asymmetric unit:
Y 0.0000 0.0000 0.0000 x2  2 Os 2.84, 8 Cd 3.08
Cd 0.2500 0.2500 0.5000 x4  2 Cd 2.84, 4 Os 3.08, 4 Y 3.08
Os 0.0000 0.5000 0.0000 x2  2 Y 2.84, 8 Cd 3.08

=====

# 9
Material: Ce2HfCuS5
Method: DFT, PBE-GGA
State: relaxed

Values from the calculation:
formation energy without anion corrections	-1604	meV/atom
total magnetic moment	2.187	μB/f.u.

Lattice parameters (Å, degrees): 3.8163 16.4853 11.5662 90.00 90.00 90.00
Closest atoms and distances in Å follow each position.
Space group Cmc2_1 (No. 36)
Asymmetric unit:
Ce 0.0000 0.1150 0.0000 x4  8 S 2.86-3.11
Ce 0.0000 0.1244 0.6248 x4  7 S 2.82-3.03
Hf 0.0000 0.1912 0.3212 x4  6 S 2.47-2.62
Cu 0.0000 0.4379 0.7465 x4  4 S 2.26-2.36
S 0.0000 0.0428 0.3520 x4  2 Cu 2.29, 1 Hf 2.47
S 0.0000 0.2942 0.9733 x4  2 Hf 2.61, 2 Ce 2.92
S 0.0000 0.3060 0.6667 x4  1 Cu 2.36, 2 Hf 2.61
S 0.0000 0.3498 0.3151 x4  1 Hf 2.62, 2 Ce 2.92
S 0.0000 0.4969 0.0743 x4  1 Cu 2.26

=====

# 10
Material: Mg3Se2S
Method: DFT, PBE-GGA
State: relaxed

Values from the calculation:
excess energy over the best structure of this formula in the dataset	0.00	eV per formula unit
formation energy without anion corrections	-1306	meV/atom
total magnetic moment	0.000	μB/f.u.

Lattice parameters (Å, degrees): 7.2235 12.5186 7.2066 90.00 109.44 90.00
Closest atoms and distances in Å follow each position.
Space group Cc (No. 9)
Asymmetric unit:
Mg 0.0000 0.0773 0.0000 x4  2 S 2.48-2.49, 2 Se 2.59-2.60
Mg 0.4811 0.0841 0.4865 x4  1 S 2.48, 3 Se 2.59
Mg 0.4958 0.2566 0.9859 x4  1 S 2.48, 3 Se 2.58-2.59
Se 0.1169 0.2475 0.8666 x4  4 Mg 2.58-2.59
Se 0.1186 0.4163 0.3673 x4  4 Mg 2.59-2.60
S 0.1176 0.0814 0.3659 x4  4 Mg 2.48-2.49

=====

# 11
Material: PmAsS3
Method: DFT, PBE-GGA
State: relaxed

Values from the calculation:
excess energy over the best structure of this formula in the dataset	0.05	eV per formula unit
formation energy without anion corrections	-1060	meV/atom
total magnetic moment	0.000	μB/f.u.

Lattice parameters (Å, degrees): 6.9549 7.1700 11.0840 90.00 111.98 90.00
Closest atoms and distances in Å follow each position.
Space group P2_1/c (No. 14)
Asymmetric unit:
Pm 0.1752 0.1293 0.2149 x4  7 S 2.79-3.02
As 0.2124 0.6462 0.0963 x4  3 S 2.28-2.32
S 0.0841 0.1840 0.9284 x4  1 As 2.32
S 0.1944 0.6712 0.8876 x4  1 As 2.28
S 0.4669 0.6377 0.6830 x4  1 As 2.28

=====

# 12
Material: TaRhNF2
Method: DFT, PBE-GGA
State: relaxed

Values from the calculation:
excess energy over the best structure of this formula in the dataset	5.70	eV per formula unit
formation energy without anion corrections	399	meV/atom
total magnetic moment	2.224	μB/f.u.

Lattice parameters (Å, degrees): 4.2978 4.2978 3.7495 90.00 90.00 90.00
Closest atoms and distances in Å follow each position.
Space group P4/mmm (No. 123)
Asymmetric unit:
Ta 0.0000 0.0000 0.0000 x1  8 F 2.85, 4 N 3.04
Rh 0.5000 0.5000 0.5000 x1  2 N 1.87
N 0.5000 0.5000 0.0000 x1  2 Rh 1.87
F 0.0000 0.5000 0.5000 x2  2 Rh 2.15